Material: BaNaSiAu
Method: DFT, PBE-GGA
State: relaxed

Cell: 5.1613 5.1613 5.1613 Å, 60.00 60.00 60.00°
Fractional coordinates of all 4 atoms:
Ba 0.0000 0.0000 0.0000
Na 0.7500 0.7500 0.7500
Si 0.2500 0.2500 0.2500
Au 0.5000 0.5000 0.5000

- VASP energy: -3.12 eV per atom
- Crystal system: cubic